i) Computed, not measured: a crystal of As2Pt2I relaxed with PBEsol at the SCAN level of DFT.

Geometry as CIF:
```
data_As2Pt2I
_chemical_formula_sum 'As4 Pt4 I2'
_cell_length_a 3.8480
_cell_length_b 3.8480
_cell_length_c 14.9720
_cell_angle_alpha 90.00
_cell_angle_beta 90.00
_cell_angle_gamma 90.00
_space_group_name_H-M_alt 'I 4/m m m'
_space_group_IT_number 139
_space_group_name_Hall '-I 4 2'
loop_
_atom_site_label
_atom_site_type_symbol
_atom_site_fract_x
_atom_site_fract_y
_atom_site_fract_z
As1 As 0.0000 0.0000 0.1411
Pt1 Pt 0.0000 0.5000 0.2500
I1 I 0.0000 0.0000 0.5000
```

Summary:
Theoretical density (Mg/m³): 9.991
Total magnetization (μB/f.u.): 0.00

***

ii) Computed, not measured: a crystal of As2Pt2I relaxed with PBEsol at the SCAN level of DFT.

Geometry as CIF:
```
data_As2Pt2I
_chemical_formula_sum 'As4 Pt4 I2'
_cell_length_a 4.2602
_cell_length_b 4.2602
_cell_length_c 11.0298
_cell_angle_alpha 90.00
_cell_angle_beta 90.00
_cell_angle_gamma 90.00
_space_group_name_H-M_alt 'I 4/m m m'
_space_group_IT_number 139
_space_group_name_Hall '-I 4 2'
loop_
_atom_site_label
_atom_site_type_symbol
_atom_site_fract_x
_atom_site_fract_y
_atom_site_fract_z
As1 As 0.0000 0.5000 0.2500
Pt1 Pt 0.0000 0.0000 0.1246
I1 I 0.0000 0.0000 0.5000
```

Summary:
Theoretical density (Mg/m³): 11.064
Total magnetization (μB/f.u.): 0.00

***

Relative energy table, unit kJ/mol of atoms: i) 0.0; ii) 28.9

***

i) Computed, not measured: a crystal of InAsIr2 relaxed with PBEsol at the SCAN level of DFT.

Geometry as CIF:
```
data_InAsIr2
_chemical_formula_sum 'In1 As1 Ir2'
_cell_length_a 2.9982
_cell_length_b 3.4903
_cell_length_c 6.0389
_cell_angle_alpha 90.00
_cell_angle_beta 90.00
_cell_angle_gamma 90.00
_space_group_name_H-M_alt 'P m m m'
_space_group_IT_number 47
_space_group_name_Hall '-P 2 2'
loop_
_atom_site_label
_atom_site_type_symbol
_atom_site_fract_x
_atom_site_fract_y
_atom_site_fract_z
In1 In 0.0000 0.0000 0.0000
As1 As 0.0000 0.0000 0.5000
Ir1 Ir 0.5000 0.5000 0.2648
```

Summary:
Theoretical density (Mg/m³): 15.087
Total magnetization (μB/f.u.): 0.00

***

ii) Computed, not measured: a crystal of InAsIr2 relaxed with PBEsol at the SCAN level of DFT.

Geometry as CIF:
```
data_InAsIr2
_chemical_formula_sum 'In1 As1 Ir2'
_cell_length_a 4.2344
_cell_length_b 4.2344
_cell_length_c 3.5413
_cell_angle_alpha 90.00
_cell_angle_beta 90.00
_cell_angle_gamma 90.00
_space_group_name_H-M_alt 'P 4/m m m'
_space_group_IT_number 123
_space_group_name_Hall '-P 4 2'
loop_
_atom_site_label
_atom_site_type_symbol
_atom_site_fract_x
_atom_site_fract_y
_atom_site_fract_z
In1 In 0.0000 0.0000 0.0000
As1 As 0.5000 0.5000 0.0000
Ir1 Ir 0.0000 0.5000 0.5000
```

Summary:
Theoretical density (Mg/m³): 15.016
Total magnetization (μB/f.u.): 0.00

***

Relative energy table, unit kJ/mol of atoms: i) 0.0; ii) 7.0

***

i) Computed, not measured: a crystal of InAsIr2 relaxed with PBEsol at the SCAN level of DFT.

Geometry as CIF:
```
data_InAsIr2
_chemical_formula_sum 'In1 As1 Ir2'
_cell_length_a 4.5384
_cell_length_b 2.9657
_cell_length_c 5.0964
_cell_angle_alpha 90.00
_cell_angle_beta 111.59
_cell_angle_gamma 90.00
_space_group_name_H-M_alt 'P 1 2/m 1'
_space_group_IT_number 10
_space_group_name_Hall '-P 2y'
loop_
_atom_site_label
_atom_site_type_symbol
_atom_site_fract_x
_atom_site_fract_y
_atom_site_fract_z
In1 In 0.0000 0.0000 0.0000
As1 As 0.0000 0.5000 0.5000
Ir1 Ir 0.5000 0.0000 0.5000
Ir2 Ir 0.5000 0.5000 0.0000
```

Summary:
Theoretical density (Mg/m³): 14.948
Total magnetization (μB/f.u.): 0.00

***

ii) Computed, not measured: a crystal of InAsIr2 relaxed with PBEsol at the SCAN level of DFT.

Geometry as CIF:
```
data_InAsIr2
_chemical_formula_sum 'In2 As2 Ir4'
_cell_length_a 2.9232
_cell_length_b 5.0459
_cell_length_c 8.8181
_cell_angle_alpha 90.00
_cell_angle_beta 90.00
_cell_angle_gamma 90.00
_space_group_name_H-M_alt 'C m m m'
_space_group_IT_number 65
_space_group_name_Hall '-C 2 2'
loop_
_atom_site_label
_atom_site_type_symbol
_atom_site_fract_x
_atom_site_fract_y
_atom_site_fract_z
In1 In 0.0000 0.0000 0.0000
As1 As 0.0000 0.0000 0.5000
Ir1 Ir 0.0000 0.5000 0.2618
```

Summary:
Theoretical density (Mg/m³): 14.660
Total magnetization (μB/f.u.): 0.00

***

Relative energy table, unit kJ/mol of atoms: i) 0.0; ii) 19.7

***

i) Computed, not measured: a crystal of MgIn2As relaxed with PBEsol at the SCAN level of DFT.

Geometry as CIF:
```
data_MgIn2As
_chemical_formula_sum 'Mg1 In2 As1'
_cell_length_a 3.3811
_cell_length_b 3.3811
_cell_length_c 7.9074
_cell_angle_alpha 90.00
_cell_angle_beta 90.00
_cell_angle_gamma 90.00
_space_group_name_H-M_alt 'P 4 m m'
_space_group_IT_number 99
_space_group_name_Hall 'P 4 -2'
loop_
_atom_site_label
_atom_site_type_symbol
_atom_site_fract_x
_atom_site_fract_y
_atom_site_fract_z
Mg1 Mg 0.0000 0.0000 0.0000
In1 In 0.0000 0.0000 0.4353
In2 In 0.5000 0.5000 0.7302
As1 As 0.5000 0.5000 0.1856
```

Summary:
Theoretical density (Mg/m³): 6.041
Total magnetization (μB/f.u.): 0.00

***

ii) Computed, not measured: a crystal of MgIn2As relaxed with PBEsol at the SCAN level of DFT.

Geometry as CIF:
```
data_MgIn2As
_chemical_formula_sum 'Mg2 In4 As2'
_cell_length_a 5.7475
_cell_length_b 11.1261
_cell_length_c 3.7518
_cell_angle_alpha 90.00
_cell_angle_beta 130.13
_cell_angle_gamma 90.00
_space_group_name_H-M_alt 'C 1 2/m 1'
_space_group_IT_number 12
_space_group_name_Hall '-C 2y'
loop_
_atom_site_label
_atom_site_type_symbol
_atom_site_fract_x
_atom_site_fract_y
_atom_site_fract_z
Mg1 Mg 0.0000 0.0000 0.0000
In1 In 0.2500 0.2500 0.5000
As1 As 0.0000 0.5000 0.0000
```

Summary:
Theoretical density (Mg/m³): 5.954
Total magnetization (μB/f.u.): 0.00

***

Relative energy table, unit kJ/mol of atoms: i) 2.9; ii) 0.0

***

i) Computed, not measured: a crystal of MgIn2As relaxed with PBEsol at the SCAN level of DFT.

Geometry as CIF:
```
data_MgIn2As
_chemical_formula_sum 'Mg2 In4 As2'
_cell_length_a 9.1066
_cell_length_b 3.8496
_cell_length_c 5.8276
_cell_angle_alpha 90.00
_cell_angle_beta 110.26
_cell_angle_gamma 90.00
_space_group_name_H-M_alt 'C 1 m 1'
_space_group_IT_number 8
_space_group_name_Hall 'C -2y'
loop_
_atom_site_label
_atom_site_type_symbol
_atom_site_fract_x
_atom_site_fract_y
_atom_site_fract_z
Mg1 Mg 0.0000 0.0000 0.0000
In1 In 0.1553 0.0000 0.5773
In2 In 0.3843 0.0000 0.3464
As1 As 0.1965 0.5000 0.9452
```

Summary:
Theoretical density (Mg/m³): 5.699
Total magnetization (μB/f.u.): 0.00

***

ii) Computed, not measured: a crystal of MgIn2As relaxed with PBEsol at the SCAN level of DFT.

Geometry as CIF:
```
data_MgIn2As
_chemical_formula_sum 'Mg1 In2 As1'
_cell_length_a 3.8634
_cell_length_b 3.8634
_cell_length_c 6.0344
_cell_angle_alpha 90.00
_cell_angle_beta 90.00
_cell_angle_gamma 90.00
_space_group_name_H-M_alt 'P 4/m m m'
_space_group_IT_number 123
_space_group_name_Hall '-P 4 2'
loop_
_atom_site_label
_atom_site_type_symbol
_atom_site_fract_x
_atom_site_fract_y
_atom_site_fract_z
Mg1 Mg 0.0000 0.0000 0.0000
In1 In 0.5000 0.5000 0.2592
As1 As 0.0000 0.0000 0.5000
```

Summary:
Theoretical density (Mg/m³): 6.063
Total magnetization (μB/f.u.): 0.00

***

Relative energy table, unit kJ/mol of atoms: i) 0.0; ii) 19.0

***

i) Computed, not measured: a crystal of Mn2InAs relaxed with PBEsol at the SCAN level of DFT.

Geometry as CIF:
```
data_Mn2InAs
_chemical_formula_sum 'Mn2 In1 As1'
_cell_length_a 2.9577
_cell_length_b 2.9577
_cell_length_c 6.7349
_cell_angle_alpha 90.00
_cell_angle_beta 90.00
_cell_angle_gamma 90.00
_space_group_name_H-M_alt 'P 4/m m m'
_space_group_IT_number 123
_space_group_name_Hall '-P 4 2'
loop_
_atom_site_label
_atom_site_type_symbol
_atom_site_fract_x
_atom_site_fract_y
_atom_site_fract_z
Mn1 Mn 0.0000 0.0000 0.2022
In1 In 0.5000 0.5000 0.5000
As1 As 0.5000 0.5000 0.0000
```

Summary:
Theoretical density (Mg/m³): 8.445
Total magnetization (μB/f.u.): 5.56

***

ii) Computed, not measured: a crystal of Mn2InAs relaxed with PBEsol at the SCAN level of DFT.

Geometry as CIF:
```
data_Mn2InAs
_chemical_formula_sum 'Mn6 In3 As3'
_cell_length_a 3.2414
_cell_length_b 3.2414
_cell_length_c 22.2297
_cell_angle_alpha 90.00
_cell_angle_beta 90.00
_cell_angle_gamma 120.00
_space_group_name_H-M_alt 'R -3 m'
_space_group_IT_number 166
_space_group_name_Hall '-R 3 2"'
loop_
_atom_site_label
_atom_site_type_symbol
_atom_site_fract_x
_atom_site_fract_y
_atom_site_fract_z
Mn1 Mn 0.0000 0.0000 0.2378
In1 In 0.0000 0.0000 0.0000
As1 As 0.0000 0.0000 0.5000
```

Summary:
Theoretical density (Mg/m³): 7.379
Total magnetization (μB/f.u.): 7.18

***

Relative energy table, unit kJ/mol of atoms: i) 12.1; ii) 0.0

***

i) Computed, not measured: a crystal of InAsOs2 relaxed with PBEsol at the SCAN level of DFT.

Geometry as CIF:
```
data_InAsOs2
_chemical_formula_sum 'In1 As1 Os2'
_cell_length_a 2.8650
_cell_length_b 2.8650
_cell_length_c 8.1473
_cell_angle_alpha 90.00
_cell_angle_beta 90.00
_cell_angle_gamma 90.00
_space_group_name_H-M_alt 'P 4 m m'
_space_group_IT_number 99
_space_group_name_Hall 'P 4 -2'
loop_
_atom_site_label
_atom_site_type_symbol
_atom_site_fract_x
_atom_site_fract_y
_atom_site_fract_z
In1 In 0.0000 0.0000 0.0000
As1 As 0.5000 0.5000 0.6729
Os1 Os 0.0000 0.0000 0.4642
Os2 Os 0.5000 0.5000 0.2538
```

Summary:
Theoretical density (Mg/m³): 14.158
Total magnetization (μB/f.u.): 0.00

***

ii) Computed, not measured: a crystal of InAsOs2 relaxed with PBEsol at the SCAN level of DFT.

Geometry as CIF:
```
data_InAsOs2
_chemical_formula_sum 'In2 As2 Os4'
_cell_length_a 2.9387
_cell_length_b 4.9660
_cell_length_c 8.7602
_cell_angle_alpha 90.00
_cell_angle_beta 90.00
_cell_angle_gamma 90.00
_space_group_name_H-M_alt 'I m m m'
_space_group_IT_number 71
_space_group_name_Hall '-I 2 2'
loop_
_atom_site_label
_atom_site_type_symbol
_atom_site_fract_x
_atom_site_fract_y
_atom_site_fract_z
In1 In 0.0000 0.0000 0.0000
As1 As 0.0000 0.0000 0.5000
Os1 Os 0.0000 0.5000 0.2237
```

Summary:
Theoretical density (Mg/m³): 14.812
Total magnetization (μB/f.u.): 0.00

***

Relative energy table, unit kJ/mol of atoms: i) 0.0; ii) 32.2

***

i) Computed, not measured: a crystal of In2AsPb relaxed with PBEsol at the SCAN level of DFT.

Geometry as CIF:
```
data_In2AsPb
_chemical_formula_sum 'In4 As2 Pb2'
_cell_length_a 3.7738
_cell_length_b 5.0401
_cell_length_c 10.5340
_cell_angle_alpha 90.00
_cell_angle_beta 90.00
_cell_angle_gamma 90.00
_space_group_name_H-M_alt 'I m m m'
_space_group_IT_number 71
_space_group_name_Hall '-I 2 2'
loop_
_atom_site_label
_atom_site_type_symbol
_atom_site_fract_x
_atom_site_fract_y
_atom_site_fract_z
In1 In 0.0000 0.0000 0.2133
As1 As 0.0000 0.5000 0.5000
Pb1 Pb 0.0000 0.5000 0.0000
```

Summary:
Theoretical density (Mg/m³): 8.483
Total magnetization (μB/f.u.): 0.00

***

ii) Computed, not measured: a crystal of In2AsPb relaxed with PBEsol at the SCAN level of DFT.

Geometry as CIF:
```
data_In2AsPb
_chemical_formula_sum 'In6 As3 Pb3'
_cell_length_a 3.9621
_cell_length_b 3.9621
_cell_length_c 23.0309
_cell_angle_alpha 90.00
_cell_angle_beta 90.00
_cell_angle_gamma 120.00
_space_group_name_H-M_alt 'R -3 m'
_space_group_IT_number 166
_space_group_name_Hall '-R 3 2"'
loop_
_atom_site_label
_atom_site_type_symbol
_atom_site_fract_x
_atom_site_fract_y
_atom_site_fract_z
In1 In 0.0000 0.0000 0.2358
As1 As 0.0000 0.0000 0.5000
Pb1 Pb 0.0000 0.0000 0.0000
```

Summary:
Theoretical density (Mg/m³): 8.142
Total magnetization (μB/f.u.): 0.00

***

iii) Computed, not measured: a crystal of In2AsPb relaxed with PBEsol at the SCAN level of DFT.

Geometry as CIF:
```
data_In2AsPb
_chemical_formula_sum 'In2 As1 Pb1'
_cell_length_a 3.8717
_cell_length_b 3.8717
_cell_length_c 6.7436
_cell_angle_alpha 90.00
_cell_angle_beta 90.00
_cell_angle_gamma 90.00
_space_group_name_H-M_alt 'P 4 m m'
_space_group_IT_number 99
_space_group_name_Hall 'P 4 -2'
loop_
_atom_site_label
_atom_site_type_symbol
_atom_site_fract_x
_atom_site_fract_y
_atom_site_fract_z
In1 In 0.0000 0.0000 0.0000
In2 In 0.5000 0.5000 0.2730
As1 As 0.5000 0.5000 0.8574
Pb1 Pb 0.0000 0.0000 0.5194
```

Summary:
Theoretical density (Mg/m³): 8.406
Total magnetization (μB/f.u.): 0.00

***

iv) Computed, not measured: a crystal of In2AsPb relaxed with PBEsol at the SCAN level of DFT.

Geometry as CIF:
```
data_In2AsPb
_chemical_formula_sum 'In2 As1 Pb1'
_cell_length_a 3.2843
_cell_length_b 4.8829
_cell_length_c 6.3367
_cell_angle_alpha 90.00
_cell_angle_beta 102.74
_cell_angle_gamma 90.00
_space_group_name_H-M_alt 'P 1 2/m 1'
_space_group_IT_number 10
_space_group_name_Hall '-P 2y'
loop_
_atom_site_label
_atom_site_type_symbol
_atom_site_fract_x
_atom_site_fract_y
_atom_site_fract_z
In1 In 0.1002 0.0000 0.2696
As1 As 0.5000 0.5000 0.5000
Pb1 Pb 0.5000 0.5000 0.0000
```

Summary:
Theoretical density (Mg/m³): 8.573
Total magnetization (μB/f.u.): 0.00

***

Relative energy table, unit kJ/mol of atoms: i) 12.6; ii) 0.0; iii) 10.9; iv) 19.4